1.
Crystalline TaAg2Cl at its relaxed geometry. Source: Alexandria via LeMat-Bulk, functional PBE-GGA.

The structure in POSCAR format:
```
TaAg2Cl
1.0
-1.451 2.335 7.094
1.451 -2.335 7.094
1.451 2.335 -7.094
Ta Ag Cl
1 2 1
direct
0.000 0.000 0.000
0.177 0.677 0.500
0.562 0.562 0.000
0.860 0.360 0.500
```

Properties
crystal system: orthorhombic
space group: Imm2, No. 44
VASP energy: -18.82 eV/cell

2.
Crystalline Co2CuMoN at its relaxed geometry. Source: Alexandria via LeMat-Bulk, functional PBE-GGA.

The structure in POSCAR format:
```
Co2CuMoN
1.0
3.774 0.000 0.000
0.000 3.774 0.000
0.000 0.000 4.044
Co Cu Mo N
2 1 1 1
direct
0.000 0.500 0.000
0.500 0.000 0.000
0.000 0.000 0.500
0.500 0.500 0.500
0.500 0.500 0.000
```

Properties
crystal system: tetragonal
space group: P4/mmm, No. 123
VASP energy: -37.28 eV/cell

3.
Crystalline MnCrTe2 at its relaxed geometry. Source: Alexandria via LeMat-Bulk, functional PBE-GGA.

The structure in POSCAR format:
```
MnCrTe2
1.0
-3.090 3.090 6.364
3.090 -3.090 6.364
3.090 3.090 -6.364
Mn Cr Te
2 2 4
direct
0.000 0.000 0.000
0.750 0.250 0.500
0.250 0.750 0.500
0.500 0.500 0.000
0.132 0.625 0.007
0.375 0.382 0.507
0.618 0.125 0.993
0.875 0.868 0.493
```

Properties
crystal system: tetragonal
space group: I-42d, No. 122
VASP energy: -49.83 eV/cell

4.
Crystalline Y3CrP at its relaxed geometry. Source: Alexandria via LeMat-Bulk, functional PBE-GGA.

The structure in POSCAR format:
```
Y3CrP
1.0
5.292 0.000 0.000
0.000 5.292 0.000
0.000 0.000 5.292
Y Cr P
3 1 1
direct
0.000 0.000 0.500
0.000 0.500 0.000
0.500 0.000 0.000
0.500 0.500 0.500
0.000 0.000 0.000
```

Properties
crystal system: cubic
energy of formation: -0.140 eV/atom
space group: Pm-3m, No. 221